1.
Pr2Y7Tm3 | PBE-GGA | optimized geometry

Summary:
ΔE to the lowest computed polymorph: 0.0 kJ per mole of atoms

Cell lengths 6.372, 3.521, 17.507 Å; angles 90.00, 96.07, 90.00 degrees
Fractional coordinates of all 12 atoms:
Pr: 0.060 0.000 0.173
Pr: 0.940 0.000 0.827
Y: 0.000 0.500 0.500
Y: 0.229 0.000 0.668
Y: 0.257 0.000 0.998
Y: 0.276 0.500 0.338
Y: 0.724 0.500 0.662
Y: 0.743 0.000 0.002
Y: 0.771 0.000 0.332
Tm: 0.453 0.500 0.842
Tm: 0.500 0.000 0.500
Tm: 0.547 0.500 0.158

2.
PrY2Tm | PBE-GGA | optimized geometry

Summary:
ΔE to the lowest computed polymorph: 1.7 kJ per mole of atoms

Cell lengths 3.591, 3.591, 10.136 Å; angles 90.00, 90.00, 90.00 degrees
Fractional coordinates of all 4 atoms:
Pr: 0.000 0.000 0.000
Y: 0.500 0.500 0.257
Y: 0.500 0.500 0.743
Tm: 0.000 0.000 0.500

3.
Pr3Y5Tm3 | PBE-GGA | optimized geometry

Summary:
Electronic total energy: -56.3 eV per cell

Cell lengths 11.227, 11.227, 3.447 Å; angles 90.00, 90.00, 120.00 degrees
Fractional coordinates of all 11 atoms:
Pr: 0.000 0.660 0.000
Pr: 0.340 0.340 0.000
Pr: 0.660 0.000 0.000
Y: 0.000 0.162 0.000
Y: 0.162 0.000 0.000
Y: 0.333 0.667 0.000
Y: 0.667 0.333 0.000
Y: 0.838 0.838 0.000
Tm: 0.000 0.408 0.500
Tm: 0.408 0.000 0.500
Tm: 0.592 0.592 0.500

4.
Pr12Y4Tm | PBE-GGA | optimized geometry

Summary:
Electronic total energy: -85.7 eV per cell

Cell lengths 9.174, 9.174, 9.174 Å; angles 109.47, 109.47, 109.47 degrees
Fractional coordinates of all 17 atoms:
Pr: 0.000 0.291 0.291
Pr: 0.000 0.709 0.709
Pr: 0.250 0.500 0.750
Pr: 0.250 0.750 0.500
Pr: 0.291 0.000 0.291
Pr: 0.291 0.291 0.000
Pr: 0.500 0.250 0.750
Pr: 0.500 0.750 0.250
Pr: 0.709 0.000 0.709
Pr: 0.709 0.709 0.000
Pr: 0.750 0.250 0.500
Pr: 0.750 0.500 0.250
Y: 0.000 0.000 0.500
Y: 0.000 0.500 0.000
Y: 0.500 0.000 0.000
Y: 0.500 0.500 0.500
Tm: 0.000 0.000 0.000

5.
Pr3Y2Tm7 | PBE-GGA | optimized geometry

Summary:
ΔE to the lowest computed polymorph: 0.0 kJ per mole of atoms

Cell lengths 5.801, 3.558, 18.816 Å; angles 90.00, 93.00, 90.00 degrees
Fractional coordinates of all 12 atoms:
Pr: 0.000 0.000 0.000
Pr: 0.276 0.500 0.632
Pr: 0.724 0.500 0.368
Y: 0.212 0.000 0.291
Y: 0.788 0.000 0.709
Tm: 0.193 0.500 0.142
Tm: 0.243 0.000 0.461
Tm: 0.305 0.000 0.826
Tm: 0.500 0.500 0.000
Tm: 0.695 0.000 0.174
Tm: 0.757 0.000 0.539
Tm: 0.807 0.500 0.858

6.
PrY3Tm4 | PBE-GGA | optimized geometry

Summary:
ΔE to the lowest computed polymorph: 16.7 kJ per mole of atoms

Cell lengths 11.898, 11.898, 6.664 Å; angles 106.17, 106.17, 16.64 degrees
Fractional coordinates of all 8 atoms:
Pr: 0.000 0.000 0.000
Y: 0.372 0.372 0.625
Y: 0.500 0.500 0.500
Y: 0.628 0.628 0.375
Tm: 0.240 0.240 0.232
Tm: 0.373 0.373 0.116
Tm: 0.627 0.627 0.884
Tm: 0.760 0.760 0.768

7.
Pr4Y2Tm | PBE-GGA | optimized geometry

Summary:
ΔE to the lowest computed polymorph: 40.4 kJ per mole of atoms

Cell lengths 7.260, 7.260, 6.072 Å; angles 90.00, 90.00, 129.26 degrees
Fractional coordinates of all 7 atoms:
Pr: 0.136 0.864 0.000
Pr: 0.309 0.691 0.500
Pr: 0.691 0.309 0.500
Pr: 0.864 0.136 0.000
Y: 0.387 0.613 0.000
Y: 0.613 0.387 0.000
Tm: 0.000 0.000 0.500

8.
Pr5Y2Tm6 | PBE-GGA | optimized geometry

Summary:
Electronic total energy: -124.8 eV per cell

Cell lengths 11.691, 20.517, 3.596 Å; angles 90.00, 90.00, 90.00 degrees
Fractional coordinates of all 26 atoms:
Pr: 0.000 0.000 0.000
Pr: 0.089 0.275 0.000
Pr: 0.200 0.551 0.000
Pr: 0.300 0.051 0.000
Pr: 0.411 0.775 0.000
Pr: 0.500 0.500 0.000
Pr: 0.589 0.225 0.000
Pr: 0.700 0.949 0.000
Pr: 0.800 0.449 0.000
Pr: 0.911 0.725 0.000
Y: 0.169 0.713 0.500
Y: 0.331 0.213 0.500
Y: 0.669 0.787 0.500
Y: 0.831 0.287 0.500
Tm: 0.061 0.420 0.500
Tm: 0.078 0.133 0.500
Tm: 0.177 0.865 0.000
Tm: 0.323 0.365 0.000
Tm: 0.422 0.633 0.500
Tm: 0.439 0.920 0.500
Tm: 0.561 0.080 0.500
Tm: 0.578 0.367 0.500
Tm: 0.677 0.635 0.000
Tm: 0.823 0.135 0.000
Tm: 0.922 0.867 0.500
Tm: 0.939 0.580 0.500